{
  "formula": "Ba2BeWO6",
  "functional": "GGA+U",
  "state": "relaxed",
  "lattice": [[5.647, 0.000, 0.000], [2.823, 4.890, 0.000], [2.823, 1.630, 10.513]],
  "species": ["O", "O", "O", "O", "O", "O", "O", "O", "O", "O", "O", "O", "W", "W", "Be", "Be", "Ba", "Ba", "Ba", "Ba"],
  "fractional_positions": [[0.374, 0.374, 0.392], [0.860, 0.374, 0.392], [0.304, 0.796, 0.104], [0.626, 0.626, 0.608], [0.696, 0.204, 0.896], [0.140, 0.626, 0.608], [0.796, 0.796, 0.104], [0.626, 0.140, 0.608], [0.204, 0.696, 0.896], [0.796, 0.304, 0.104], [0.374, 0.860, 0.392], [0.204, 0.204, 0.896], [0.500, 0.500, 0.500], [0.000, 0.000, 0.000], [0.372, 0.372, 0.885], [0.628, 0.628, 0.115], [0.867, 0.867, 0.400], [0.264, 0.264, 0.207], [0.736, 0.736, 0.793], [0.133, 0.133, 0.600]],
  "total_energy_ev_per_atom": -6.943,
  "volume_a3_per_cell": 290.3
}